No. 1
Below is a relaxed structure of KP, with properties calculated at the PBE level.

The structure in POSCAR format:
```
KP
1.0
6.356 -0.018 -0.096
4.171 4.795 -0.098
1.133 0.516 3.488
K P
2 2
Direct
0.102 0.935 0.981 K
0.814 0.648 0.769 K
0.520 0.353 0.563 P
0.396 0.230 0.187 P
```

Computed properties:
The energy above the most stable polymorph in this dataset is 97 meV/atom. Its total magnetic moment is 0.00 μB/f.u. The calculation puts the total energy at -0.263 Ry/atom. The calculation puts the formation energy at -0.322 eV/atom.

---

No. 2
Below is a relaxed structure of KP, with properties calculated at the PBE level.

The structure in POSCAR format:
```
KP
1.0
0.925 -5.774 1.812
4.681 -3.834 0.933
2.880 -2.006 7.874
K P
3 3
Direct
0.720 0.720 0.603 K
0.366 0.366 0.190 K
0.837 0.837 0.879 K
0.109 0.109 0.940 P
0.572 0.572 0.335 P
0.064 0.064 0.221 P
```

Computed properties:
The energy above the most stable polymorph in this dataset is 184 meV/atom. Its total magnetic moment is 0.00 μB/f.u. The calculation puts the total energy at -0.256 Ry/atom. The calculation puts the formation energy at -0.236 eV/atom.